Material: SrPrAg
Method: DFT, PBE-GGA
State: relaxed

Unit cell a=5.246 b=5.246 c=4.246 alpha=90.00 beta=90.00 gamma=120.00
Fractional positions:
Sr  0.000  0.000  0.000
Pr  0.333  0.667  0.468
Ag  0.667  0.333  0.663

Summary:
The space group is P3m1 (156). The calculation puts the magnetic moment at 0.00 μB/atom. The calculation puts the energy of formation from the pure elements at 17.1 kJ/mol of formula units.


Material: Mg2RhSe
Method: DFT, PBE-GGA
State: relaxed

Unit cell a=6.257 b=6.257 c=4.296 alpha=110.01 beta=110.01 gamma=28.96
Fractional positions:
Mg  0.000  0.000  0.000
Mg  0.191  0.191  0.691
Rh  0.483  0.483  0.483
Se  0.804  0.804  0.303

Summary:
The space group is Cm (8). The calculation puts the magnetic moment at 0.00 μB/atom. The formation energy without anion corrections is -494 meV/atom.


What did the second record say?
Material: Mg2RhSe
Method: DFT, PBE-GGA
State: relaxed

Unit cell a=6.257 b=6.257 c=4.296 alpha=110.01 beta=110.01 gamma=28.96
Fractional positions:
Mg  0.000  0.000  0.000
Mg  0.191  0.191  0.691
Rh  0.483  0.483  0.483
Se  0.804  0.804  0.303

Summary:
The space group is Cm (8). The calculation puts the magnetic moment at 0.00 μB/atom. The formation energy without anion corrections is -494 meV/atom.